DFT (PBE-GGA) results for a geometry-optimized CaYAgSn structure.

Properties
energy of formation from the pure elements = -0.549 eV/atom
total energy = -4.38 eV per atom

a b c (Å): 7.4656 7.4656 7.4656
angles (deg): 90.00 90.00 90.00
Space group F-43m (No. 216)
One atom of each set of equivalent atoms:
Ca 0.0000 0.0000 0.0000
Y 0.0000 0.0000 0.5000
Ag 0.2500 0.2500 0.2500
Sn 0.2500 0.2500 0.7500

***

DFT (PBE-GGA) results for a geometry-optimized TbCuHgAu structure.

Properties
energy of formation from the pure elements = -0.376 eV/atom
total energy = -3.45 eV per atom

a b c (Å): 6.8670 6.8670 6.8670
angles (deg): 90.00 90.00 90.00
Space group F-43m (No. 216)
One atom of each set of equivalent atoms:
Tb 0.0000 0.0000 0.0000
Cu 0.2500 0.2500 0.2500
Hg 0.0000 0.0000 0.5000
Au 0.2500 0.2500 0.7500

***

DFT (PBE-GGA) results for a geometry-optimized CoSbPb structure.

Properties
total energy = -4.81 eV per atom

a b c (Å): 3.6142 3.6142 5.9457
angles (deg): 90.00 90.00 120.00
Space group P3m1 (No. 156)
One atom of each set of equivalent atoms:
Co 0.0000 0.0000 0.0000
Sb 0.3333 0.6667 0.7699
Pb 0.6667 0.3333 0.3035

***

DFT (PBE-GGA) results for a geometry-optimized Dy6Ho3Tm2Zr structure.

Properties
energy of formation from the pure elements = 0.041 eV/atom
total energy = -4.86 eV per atom

a b c (Å): 6.0584 10.4739 11.5679
angles (deg): 90.00 99.95 90.00
Space group C2/m (No. 12)
One atom of each set of equivalent atoms:
Dy 0.2451 0.1637 0.2444
Dy 0.2456 0.0000 0.7562
Ho 0.0000 0.1666 0.5000
Ho 0.0000 0.5000 0.5000
Tm 0.0000 0.3331 0.0000
Zr 0.0000 0.0000 0.0000

***

DFT (PBE-GGA) results for a geometry-optimized LaZn4Re structure.

Properties
energy of formation from the pure elements = 0.060 eV/atom
total energy = -3.68 eV per atom

a b c (Å): 7.4418 7.4418 7.4418
angles (deg): 90.00 90.00 90.00
Space group F-43m (No. 216)
One atom of each set of equivalent atoms:
La 0.0000 0.0000 0.0000
Zn 0.1231 0.1231 0.3769
Re 0.2500 0.2500 0.7500

***

DFT (PBE-GGA) results for a geometry-optimized Pm2Si5Ru structure.

Properties
total energy = -6.29 eV per atom

a b c (Å): 5.8585 5.8585 8.9350
angles (deg): 90.00 90.00 90.00
Space group I4mm (No. 107)
One atom of each set of equivalent atoms:
Pm 0.0000 0.5000 0.0000
Si 0.0000 0.0000 0.4473
Si 0.2101 0.2101 0.2453
Ru 0.0000 0.0000 0.7084

***

DFT (PBE-GGA) results for a geometry-optimized Ce3IrRh structure.

Properties
E above lowest polymorph = 63.3 meV per atom
energy of formation from the pure elements = -0.551 eV/atom
total energy = -7.35 eV per atom

a b c (Å): 11.3358 5.3706 8.9961
angles (deg): 90.00 119.55 90.00
Space group C2/m (No. 12)
One atom of each set of equivalent atoms:
Ce 0.1074 0.0000 0.3907
Ce 0.1398 0.5000 0.1468
Ce 0.1539 0.5000 0.8204
Ir 0.1063 0.5000 0.4562
Rh 0.0919 0.0000 0.9405

***

DFT (PBE-GGA) results for a geometry-optimized Pu2Zn3AgAu4 structure.

Properties
energy of formation from the pure elements = -0.259 eV/atom
total energy = -5.10 eV per atom

a b c (Å): 4.1347 4.1347 12.1008
angles (deg): 90.00 90.00 90.00
Space group P-4m2 (No. 115)
One atom of each set of equivalent atoms:
Pu 0.0000 0.5000 0.2455
Zn 0.0000 0.5000 0.8659
Zn 0.5000 0.5000 0.5000
Ag 0.0000 0.0000 0.5000
Au 0.0000 0.0000 0.0000
Au 0.0000 0.5000 0.6552
Au 0.5000 0.5000 0.0000